Entry 1:
An optimized crystal structure of Zn7GaAg12, computed with PBE-GGA.

Properties
The calculation puts the electronic total energy at -45.9 eV for the cell shown.

Cell lengths 7.453, 7.453, 7.453 Å; angles 107.21, 107.21, 107.21 degrees
Fractional coordinates of all 20 atoms:
Zn 0.000 0.000 0.000
Zn 0.170 0.595 0.481
Zn 0.405 0.519 0.830
Zn 0.481 0.170 0.595
Zn 0.519 0.830 0.405
Zn 0.595 0.481 0.170
Zn 0.830 0.405 0.519
Ga 0.500 0.500 0.500
Ag 0.102 0.209 0.465
Ag 0.134 0.833 0.275
Ag 0.167 0.725 0.866
Ag 0.209 0.465 0.102
Ag 0.275 0.134 0.833
Ag 0.465 0.102 0.209
Ag 0.535 0.898 0.791
Ag 0.725 0.866 0.167
Ag 0.791 0.535 0.898
Ag 0.833 0.275 0.134
Ag 0.866 0.167 0.725
Ag 0.898 0.791 0.535

=====

Entry 2:
An optimized crystal structure of ZnGa3Ag6, computed with PBE-GGA.

Properties
The calculation puts the electronic total energy at -55.1 eV for the cell shown.

Cell lengths 10.456, 2.952, 11.962 Å; angles 90.00, 108.73, 90.00 degrees
Fractional coordinates of all 20 atoms:
Zn 0.075 0.250 0.190
Zn 0.925 0.750 0.810
Ga 0.005 0.250 0.393
Ga 0.380 0.250 0.001
Ga 0.478 0.250 0.596
Ga 0.522 0.750 0.404
Ga 0.620 0.750 0.999
Ga 0.995 0.750 0.607
Ag 0.137 0.750 0.019
Ag 0.150 0.250 0.808
Ag 0.222 0.250 0.593
Ag 0.246 0.750 0.390
Ag 0.338 0.250 0.216
Ag 0.393 0.750 0.798
Ag 0.607 0.250 0.202
Ag 0.662 0.750 0.784
Ag 0.754 0.250 0.610
Ag 0.778 0.750 0.407
Ag 0.850 0.750 0.192
Ag 0.863 0.250 0.981

=====

Entry 3:
An optimized crystal structure of Zn3Ga12Ag, computed with PBE-GGA.

Properties
The calculation puts the electronic total energy at -42.6 eV for the cell shown.

Cell lengths 4.998, 4.998, 12.023 Å; angles 92.95, 92.95, 105.53 degrees
Fractional coordinates of all 16 atoms:
Zn 0.000 0.000 0.000
Zn 0.007 0.007 0.756
Zn 0.993 0.993 0.244
Ga 0.000 0.000 0.500
Ga 0.000 0.495 0.374
Ga 0.000 0.505 0.626
Ga 0.003 0.508 0.874
Ga 0.492 0.997 0.126
Ga 0.495 0.000 0.374
Ga 0.495 0.495 0.253
Ga 0.500 0.500 0.000
Ga 0.505 0.000 0.626
Ga 0.505 0.505 0.747
Ga 0.508 0.003 0.874
Ga 0.997 0.492 0.126
Ag 0.500 0.500 0.500

=====

Entry 4:
An optimized crystal structure of Zn8GaAg2, computed with PBE-GGA.

Properties
Its energy above the most stable polymorph in this dataset is 0.0 meV/atom.

Cell lengths 7.166, 7.166, 6.826 Å; angles 99.89, 99.89, 30.72 degrees
Fractional coordinates of all 11 atoms:
Zn 0.040 0.040 0.222
Zn 0.137 0.137 0.700
Zn 0.319 0.319 0.580
Zn 0.409 0.409 0.031
Zn 0.591 0.591 0.969
Zn 0.681 0.681 0.420
Zn 0.863 0.863 0.300
Zn 0.960 0.960 0.778
Ga 0.500 0.500 0.500
Ag 0.226 0.226 0.151
Ag 0.774 0.774 0.849

=====

Entry 5:
An optimized crystal structure of ZnGaAg6, computed with PBE-GGA.

Properties
Its energy above the most stable polymorph in this dataset is 52.8 meV/atom.

Cell lengths 4.937, 5.424, 5.445 Å; angles 92.00, 93.17, 93.28 degrees
Fractional coordinates of all 8 atoms:
Zn 0.000 0.000 0.000
Ga 0.500 0.500 0.500
Ag 0.026 0.752 0.449
Ag 0.250 0.577 0.925
Ag 0.475 0.048 0.750
Ag 0.525 0.952 0.250
Ag 0.750 0.423 0.075
Ag 0.974 0.248 0.551

=====

Entry 6:
An optimized crystal structure of Zn5Ga3Ag, computed with PBE-GGA.

Properties
The calculation puts the electronic total energy at -34.0 eV for the cell shown.

Cell lengths 7.620, 7.620, 7.620 Å; angles 115.61, 115.61, 97.78 degrees
Fractional coordinates of all 18 atoms:
Zn 0.000 0.000 0.000
Zn 0.071 0.571 0.911
Zn 0.161 0.071 0.500
Zn 0.339 0.839 0.911
Zn 0.429 0.339 0.500
Zn 0.500 0.500 0.000
Zn 0.571 0.661 0.500
Zn 0.661 0.161 0.089
Zn 0.839 0.929 0.500
Zn 0.929 0.429 0.089
Ga 0.109 0.391 0.500
Ga 0.250 0.250 0.000
Ga 0.391 0.891 0.281
Ga 0.609 0.109 0.719
Ga 0.750 0.750 0.000
Ga 0.891 0.609 0.500
Ag 0.250 0.750 0.500
Ag 0.750 0.250 0.500

=====

Entry 7:
An optimized crystal structure of ZnGa2Ag2, computed with PBE-GGA.

Properties
Its energy above the most stable polymorph in this dataset is 0.0 meV/atom.

Cell lengths 7.269, 7.269, 6.048 Å; angles 90.00, 90.00, 145.58 degrees
Fractional coordinates of all 10 atoms:
Zn 0.085 0.915 0.500
Zn 0.915 0.085 0.000
Ga 0.291 0.709 0.221
Ga 0.478 0.522 0.421
Ga 0.522 0.478 0.921
Ga 0.709 0.291 0.721
Ag 0.136 0.864 0.945
Ag 0.338 0.662 0.772
Ag 0.662 0.338 0.272
Ag 0.864 0.136 0.445

=====

Entry 8:
An optimized crystal structure of Zn5GaAg3, computed with PBE-GGA.

Properties
The calculation puts the electronic total energy at -34.7 eV for the cell shown.

Cell lengths 7.991, 7.991, 5.383 Å; angles 90.00, 90.00, 120.00 degrees
Fractional coordinates of all 18 atoms:
Zn 0.000 0.308 0.250
Zn 0.000 0.692 0.750
Zn 0.308 0.000 0.250
Zn 0.308 0.308 0.750
Zn 0.333 0.667 0.000
Zn 0.333 0.667 0.500
Zn 0.667 0.333 0.000
Zn 0.667 0.333 0.500
Zn 0.692 0.000 0.750
Zn 0.692 0.692 0.250
Ga 0.000 0.000 0.000
Ga 0.000 0.000 0.500
Ag 0.000 0.364 0.750
Ag 0.000 0.636 0.250
Ag 0.364 0.000 0.750
Ag 0.364 0.364 0.250
Ag 0.636 0.000 0.250
Ag 0.636 0.636 0.750

=====

Entry 9:
An optimized crystal structure of ZnGaAg, computed with PBE-GGA.

Properties
Its energy above the most stable polymorph in this dataset is 50.3 meV/atom.

Cell lengths 4.928, 4.928, 6.478 Å; angles 108.37, 108.37, 46.71 degrees
Fractional coordinates of all 6 atoms:
Zn 0.109 0.109 0.214
Zn 0.891 0.891 0.786
Ga 0.161 0.161 0.627
Ga 0.839 0.839 0.373
Ag 0.378 0.378 0.094
Ag 0.622 0.622 0.906

=====

Entry 10:
An optimized crystal structure of Zn2Ga8Ag, computed with PBE-GGA.

Properties
Its energy above the most stable polymorph in this dataset is 0.0 meV/atom.

Cell lengths 4.138, 6.470, 8.270 Å; angles 110.16, 94.81, 101.58 degrees
Fractional coordinates of all 11 atoms:
Zn 0.218 0.339 0.472
Zn 0.782 0.661 0.528
Ga 0.073 0.844 0.070
Ga 0.154 0.591 0.276
Ga 0.285 0.050 0.642
Ga 0.436 0.756 0.795
Ga 0.564 0.244 0.205
Ga 0.715 0.950 0.358
Ga 0.846 0.409 0.724
Ga 0.927 0.156 0.930
Ag 0.500 0.500 0.000

=====

Entry 11:
An optimized crystal structure of Zn5Ga2Ag4, computed with PBE-GGA.

Properties
Its energy above the most stable polymorph in this dataset is 0.0 meV/atom.

Cell lengths 6.927, 2.891, 9.068 Å; angles 90.00, 90.49, 90.00 degrees
Fractional coordinates of all 11 atoms:
Zn 0.000 0.000 0.000
Zn 0.172 0.000 0.432
Zn 0.355 0.000 0.913
Zn 0.645 0.000 0.087
Zn 0.828 0.000 0.568
Ga 0.452 0.000 0.637
Ga 0.548 0.000 0.363
Ag 0.112 0.500 0.717
Ag 0.292 0.500 0.173
Ag 0.708 0.500 0.827
Ag 0.888 0.500 0.283

=====

Entry 12:
An optimized crystal structure of ZnGa5Ag2, computed with PBE-GGA.

Properties
Its energy above the most stable polymorph in this dataset is 0.0 meV/atom.

Cell lengths 5.391, 5.780, 5.893 Å; angles 68.96, 63.68, 62.97 degrees
Fractional coordinates of all 8 atoms:
Zn 0.000 0.000 0.000
Ga 0.000 0.001 0.500
Ga 0.000 0.500 0.000
Ga 0.000 0.501 0.499
Ga 0.500 0.001 0.999
Ga 0.500 0.501 0.999
Ag 0.500 0.502 0.499
Ag 0.501 0.002 0.498